Material: Al2V6Ga3
Method: DFT, PBE
State: optimized geometry

Properties
Formation energy, eV/atom: 0.140
Crystal system: orthorhombic
Raw total energy, eV per cell: -69.74
Magnetic moment, μB per atom: 0.000

a = 8.0882 Å, b = 8.0882 Å, c = 2.7139 Å
α = 90.00°, β = 90.00°, γ = 110.03°
With the nearest neighbours (Å) after each atom.
Fractional positions:
Al 0.1563 0.1563 0.0000  3 Al 2.71-2.90, 8 V 2.73-2.76
Al 0.8437 0.8437 0.0000  3 Al 2.71-2.90, 8 V 2.73-2.76
V 0.1033 0.4266 0.5000  2 V 2.36-2.47, 2 Ga 2.58
V 0.1447 0.8553 0.5000  4 V 2.47-2.71, 2 Ga 2.65, 4 Al 2.76
V 0.4266 0.1033 0.5000  2 V 2.36-2.47, 2 Ga 2.58
V 0.5734 0.8967 0.5000  2 V 2.36-2.47, 2 Ga 2.58
V 0.8553 0.1447 0.5000  4 V 2.47-2.71, 2 Ga 2.65, 4 Al 2.76
V 0.8967 0.5734 0.5000  2 V 2.36-2.47, 2 Ga 2.58
Ga 0.3163 0.6837 0.0000  6 V 2.58-2.65, 4 Ga 2.71-2.79
Ga 0.5000 0.5000 0.5000  6 Ga 2.71-2.79
Ga 0.6837 0.3163 0.0000  6 V 2.58-2.65, 4 Ga 2.71-2.79

=====

Material: AlV3Ga
Method: DFT, PBE
State: optimized geometry

Properties
Formation energy, eV/atom: -0.176
Energy relative to the lowest polymorph listed for this composition, meV per atom: 0
Crystal system: monoclinic
Raw total energy, eV per cell: -70.01
Magnetic moment, μB per atom: 0.001

a = 6.5925 Å, b = 6.5925 Å, c = 5.3038 Å
α = 101.71°, β = 101.71°, γ = 38.68°
With the nearest neighbours (Å) after each atom.
Fractional positions:
Al 0.1994 0.1994 0.0672  6 V 2.62-2.76, 1 Ga 2.67, 2 Al 2.69
Al 0.8006 0.8006 0.9328  6 V 2.62-2.76, 1 Ga 2.67, 2 Al 2.69
V 0.0086 0.0086 0.2483  5 V 2.54-2.72, 2 Ga 2.69, 2 Al 2.75-2.76
V 0.2082 0.2082 0.5660  4 V 2.58-2.68, 2 Al 2.62-2.68, 3 Ga 2.65-2.85
V 0.4066 0.4066 0.8575  4 V 2.49-2.61, 2 Ga 2.61-2.69, 2 Al 2.63
V 0.5934 0.5934 0.1425  4 V 2.49-2.61, 2 Ga 2.61-2.69, 2 Al 2.63
V 0.7918 0.7918 0.4340  4 V 2.58-2.68, 2 Al 2.62-2.68, 3 Ga 2.65-2.85
V 0.9914 0.9914 0.7517  5 V 2.54-2.72, 2 Ga 2.69, 2 Al 2.75-2.76
Ga 0.4024 0.4024 0.3627  1 Ga 2.55, 7 V 2.61-2.85, 1 Al 2.67
Ga 0.5976 0.5976 0.6373  1 Ga 2.55, 7 V 2.61-2.85, 1 Al 2.67

=====

Material: Al2V8Ga3
Method: DFT, PBE
State: optimized geometry

Properties
Formation energy, eV/atom: 0.143
Crystal system: monoclinic
Raw total energy, eV per cell: -87.65
Magnetic moment, μB per atom: 0.000

a = 6.6032 Å, b = 6.6032 Å, c = 5.2011 Å
α = 96.39°, β = 96.39°, γ = 61.61°
With the nearest neighbours (Å) after each atom.
Fractional positions:
Al 0.2066 0.2066 0.2810  5 V 2.56-2.67, 1 Ga 2.60
Al 0.7934 0.7934 0.7190  5 V 2.56-2.67, 1 Ga 2.60
V 0.1963 0.1963 0.7813  5 V 2.58-2.68, 2 Al 2.59-2.62, 3 Ga 2.63-2.78
V 0.2156 0.5512 0.0663  1 V 2.27
V 0.4014 0.4014 0.5896  2 Ga 2.52, 4 V 2.53-2.76, 1 Al 2.56
V 0.4488 0.7844 0.9337  1 V 2.27
V 0.5512 0.2156 0.0663  1 V 2.27
V 0.5986 0.5986 0.4104  2 Ga 2.52, 4 V 2.53-2.76, 1 Al 2.56
V 0.7844 0.4488 0.9337  1 V 2.27
V 0.8037 0.8037 0.2187  5 V 2.58-2.68, 2 Al 2.59-2.62, 3 Ga 2.63-2.78
Ga 0.0000 0.0000 0.0000  2 Al 2.60, 6 V 2.63-2.65, 4 Ga 2.87
Ga 0.1782 0.8218 0.5000  1 Ga 2.41, 4 V 2.52-2.67
Ga 0.8218 0.1782 0.5000  1 Ga 2.41, 4 V 2.52-2.67

=====

Material: AlV3Ga2
Method: DFT, PBE
State: optimized geometry

Properties
Formation energy, eV/atom: -0.206
Crystal system: orthorhombic
Raw total energy, eV per cell: -38.39
Magnetic moment, μB per atom: 0.000

a = 5.9674 Å, b = 5.9674 Å, c = 3.9984 Å
α = 90.00°, β = 90.00°, γ = 143.65°
With the nearest neighbours (Å) after each atom.
Fractional positions:
Al 0.0000 0.0000 0.0000  4 Ga 2.64, 8 V 2.73-2.75
V 0.1667 0.8333 0.5000  4 V 2.65, 6 Ga 2.73-2.76, 2 Al 2.75
V 0.5000 0.5000 0.5000  4 V 2.65, 4 Al 2.73, 4 Ga 2.74
V 0.8333 0.1667 0.5000  4 V 2.65, 6 Ga 2.73-2.76, 2 Al 2.75
Ga 0.3345 0.6655 0.0000  2 Al 2.64, 2 Ga 2.67, 8 V 2.73-2.76
Ga 0.6655 0.3345 0.0000  2 Al 2.64, 2 Ga 2.67, 8 V 2.73-2.76

=====

Material: Al2VGa4
Method: DFT, PBE
State: optimized geometry

Properties
Formation energy, eV/atom: 0.342
Energy relative to the lowest polymorph listed for this composition, meV per atom: 146
Crystal system: tetragonal
Raw total energy, eV per cell: -26.32
Magnetic moment, μB per atom: 0.041

a = 7.1753 Å, b = 7.1753 Å, c = 7.1753 Å
α = 139.84°, β = 139.84°, γ = 58.10°
With the nearest neighbours (Å) after each atom.
Fractional positions:
Al 0.1062 0.1062 0.0000  5 Ga 2.55-2.80, 1 Al 2.66
Al 0.8938 0.8938 0.0000  5 Ga 2.55-2.80, 1 Al 2.66
V 0.5000 0.5000 0.0000  6 Ga 2.39-2.46
Ga 0.0000 0.5000 0.5000  2 V 2.46
Ga 0.3091 0.3091 0.0000  1 V 2.39, 1 Al 2.55
Ga 0.5000 0.0000 0.5000  2 V 2.46
Ga 0.6909 0.6909 0.0000  1 V 2.39, 1 Al 2.55

=====

Material: AlVGa3
Method: DFT, PBE
State: optimized geometry

Properties
Formation energy, eV/atom: 0.527
Energy relative to the lowest polymorph listed for this composition, meV per atom: 499
Crystal system: cubic
Raw total energy, eV per cell: -19.31
Magnetic moment, μB per atom: 0.091

a = 4.8400 Å, b = 4.8400 Å, c = 4.8400 Å
α = 90.00°, β = 90.00°, γ = 90.00°
With the nearest neighbours (Å) after each atom.
Fractional positions:
Al 0.0000 0.0000 0.0000  12 Ga 3.42
V 0.5000 0.5000 0.5000  6 Ga 2.42
Ga 0.0000 0.5000 0.5000  2 V 2.42
Ga 0.5000 0.0000 0.5000  2 V 2.42
Ga 0.5000 0.5000 0.0000  2 V 2.42

=====

Material: AlVGa
Method: DFT, PBE
State: optimized geometry

Properties
Formation energy, eV/atom: -0.173
Energy relative to the lowest polymorph listed for this composition, meV per atom: 20
Crystal system: orthorhombic
Raw total energy, eV per cell: -16.41
Magnetic moment, μB per atom: 0.000

a = 2.7024 Å, b = 2.7024 Å, c = 6.4702 Å
α = 90.00°, β = 90.00°, γ = 96.30°
With the nearest neighbours (Å) after each atom.
Fractional positions:
Al 0.0000 0.0000 0.0000  1 Ga 2.56, 4 V 2.64-2.79, 4 Al 2.70
V 0.5000 0.5000 0.2983  4 Al 2.64-2.79, 4 Ga 2.68-2.82, 4 V 2.70
Ga 0.0000 0.0000 0.6041  1 Al 2.56, 4 V 2.68-2.82, 4 Ga 2.70

=====

Material: AlV2Ga2
Method: DFT, PBE
State: optimized geometry

Properties
Formation energy, eV/atom: -0.130
Energy relative to the lowest polymorph listed for this composition, meV per atom: 0
Crystal system: monoclinic
Raw total energy, eV per cell: -57.36
Magnetic moment, μB per atom: 0.000

a = 5.3796 Å, b = 5.3796 Å, c = 7.3449 Å
α = 112.72°, β = 112.72°, γ = 50.50°
With the nearest neighbours (Å) after each atom.
Fractional positions:
Al 0.1441 0.1441 0.0520  1 Al 2.57, 5 Ga 2.67-2.72, 3 V 2.76-2.78
Al 0.8559 0.8559 0.9480  1 Al 2.57, 5 Ga 2.67-2.72, 3 V 2.76-2.78
V 0.0481 0.0481 0.3566  4 Ga 2.64-2.74, 4 V 2.65-2.74, 2 Al 2.77-2.78
V 0.3525 0.3525 0.4515  5 Ga 2.61-2.66, 4 V 2.65-2.74, 1 Al 2.76
V 0.6475 0.6475 0.5485  5 Ga 2.61-2.66, 4 V 2.65-2.74, 1 Al 2.76
V 0.9519 0.9519 0.6434  4 Ga 2.64-2.74, 4 V 2.65-2.74, 2 Al 2.77-2.78
Ga 0.2558 0.2558 0.7341  5 V 2.62-2.74, 2 Ga 2.69-2.90, 2 Al 2.72
Ga 0.4435 0.4435 0.1649  4 V 2.61-2.66, 3 Al 2.67-2.71, 2 Ga 2.69-2.90
Ga 0.5565 0.5565 0.8351  4 V 2.61-2.66, 3 Al 2.67-2.71, 2 Ga 2.69-2.90
Ga 0.7442 0.7442 0.2659  5 V 2.62-2.74, 2 Ga 2.69-2.90, 2 Al 2.72